Run 1
# HoTh2Pd

An optimized crystal structure of HoTh2Pd (PBE, Alexandria via LeMat-Bulk).

Geometry as POSCAR:
```
HoTh2Pd
1.0
3.712 0.000 0.000
-1.856 5.876 0.000
0.000 0.000 10.331
Ho Th Pd
2 4 2
direct
0.918 0.836 0.250
0.082 0.164 0.750
0.366 0.732 0.550
0.634 0.268 0.450
0.366 0.732 0.950
0.634 0.268 0.050
0.780 0.559 0.750
0.220 0.441 0.250
```

Summary:
D(E_F) = 9.1 states/eV per cell
Calculated volume = 225 Å³/cell

***

Run 2
# HoTh2Pd

An optimized crystal structure of HoTh2Pd (PBE, Alexandria via LeMat-Bulk).

Geometry as POSCAR:
```
HoTh2Pd
1.0
-0.580 -3.475 1.014
3.188 -0.004 1.810
-3.909 2.662 6.890
Pd Ho Th
1 1 2
direct
0.500 0.500 0.000
0.500 0.500 0.500
0.000 0.000 0.790
0.000 0.000 0.210
```

Summary:
D(E_F) = 5.2 states/eV per cell
Calculated volume = 112 Å³/cell

***

Run 3
# HoTh2Pd

An optimized crystal structure of HoTh2Pd (PBE, Alexandria via LeMat-Bulk).

Geometry as POSCAR:
```
HoTh2Pd
1.0
-3.290 -1.437 -0.957
-2.326 -1.225 2.625
-5.904 7.970 1.116
Pd Ho Th
1 1 2
direct
0.000 0.000 0.000
0.500 0.500 0.500
0.263 0.263 0.211
0.737 0.737 0.789
```

Summary:
D(E_F) = 4.4 states/eV per cell
Calculated volume = 117 Å³/cell

***

Which of them is least stable? Easy: run 3.